This record from Alexandria describes an optimized crystal structure of Pr2Y12Er5. The functional is PBE-GGA.

a b c (Å): 6.333 8.706 11.905
angles (deg): 91.30 92.64 109.11
Space group P1 (No. 1)
Asymmetric unit:
Pr (0.000, 0.000, 0.000) (multiplicity 1)
Pr (0.410, 0.826, 0.959) (multiplicity 1)
Y (0.101, 0.253, 0.549) (multiplicity 1)
Y (0.158, 0.457, 0.073) (multiplicity 1)
Y (0.190, 0.666, 0.712) (multiplicity 1)
Y (0.284, 0.868, 0.234) (multiplicity 1)
Y (0.374, 0.114, 0.769) (multiplicity 1)
Y (0.431, 0.664, 0.457) (multiplicity 1)
Y (0.523, 0.059, 0.491) (multiplicity 1)
Y (0.593, 0.221, 0.068) (multiplicity 1)
Y (0.634, 0.541, 0.880) (multiplicity 1)
Y (0.695, 0.670, 0.180) (multiplicity 1)
Y (0.954, 0.293, 0.819) (multiplicity 1)
Y (0.985, 0.811, 0.472) (multiplicity 1)
Er (0.395, 0.315, 0.309) (multiplicity 1)
Er (0.687, 0.440, 0.595) (multiplicity 1)
Er (0.767, 0.892, 0.713) (multiplicity 1)
Er (0.875, 0.062, 0.280) (multiplicity 1)
Er (0.944, 0.449, 0.330) (multiplicity 1)

Total moment = 0.0000 μB per atom
Energy relative to the elements = 82 meV/atom
Total DFT energy (no corrections) = -5.7049 eV per atom

This record from Alexandria describes an optimized crystal structure of BaOsRh. The functional is PBE-GGA.

a b c (Å): 3.0361 3.0361 7.7477
angles (deg): 90.00 90.00 120.00
Space group P3m1 (No. 156)
Asymmetric unit:
Ba (0.0000, 0.0000, 0.0000) (multiplicity 1)
Os (0.3333, 0.6667, 0.3772) (multiplicity 1)
Rh (0.6667, 0.3333, 0.6265) (multiplicity 1)

Total moment = 0.0000 μB per atom
Energy relative to the elements = 1153 meV/atom
Total DFT energy (no corrections) = -5.6820 eV per atom

- Which value of total moment does entry 1 give?
  0.0000 μB per atom

- What is the total moment in the second record?
  0.0000 μB per atom

- Number 1 is which compound?
  Pr2Y12Er5

- Which value of total DFT energy (no corrections) does entry 2 give?
  -5.6820 eV per atom